# Sc2VInN, relaxed, DFT PBE
# calculated density	5.5	g/cm3
data_Sc2VInN
_cell_length_a 4.529
_cell_length_b 4.529
_cell_length_c 3.989
_cell_angle_alpha 90.00
_cell_angle_beta 90.00
_cell_angle_gamma 90.00
_space_group_name_H-M_alt 'P 4/m m m'
_space_group_IT_number 123
_space_group_name_Hall '-P 4 2'
loop_
_atom_site_label
_atom_site_fract_x
_atom_site_fract_y
_atom_site_fract_z
Sc1 0.000 0.500 0.000
V1 0.000 0.000 0.500
In1 0.500 0.500 0.500
N1 0.000 0.000 0.000



# Y2ScInN, relaxed, DFT PBE
# calculated density	5.5	g/cm3
data_Y2ScInN
_cell_length_a 4.828
_cell_length_b 4.828
_cell_length_c 4.515
_cell_angle_alpha 90.00
_cell_angle_beta 90.00
_cell_angle_gamma 90.00
_space_group_name_H-M_alt 'P 4/m m m'
_space_group_IT_number 123
_space_group_name_Hall '-P 4 2'
loop_
_atom_site_label
_atom_site_fract_x
_atom_site_fract_y
_atom_site_fract_z
Y1 0.000 0.500 0.000
Sc1 0.000 0.000 0.500
In1 0.500 0.500 0.500
N1 0.000 0.000 0.000



# ScZnInN2, relaxed, DFT PBE
# calculated density	4.8	g/cm3
data_ScZnInN2
_cell_length_a 4.238
_cell_length_b 4.238
_cell_length_c 4.870
_cell_angle_alpha 90.00
_cell_angle_beta 90.00
_cell_angle_gamma 90.00
_space_group_name_H-M_alt 'P 4/m m m'
_space_group_IT_number 123
_space_group_name_Hall '-P 4 2'
loop_
_atom_site_label
_atom_site_fract_x
_atom_site_fract_y
_atom_site_fract_z
Sc1 0.000 0.000 0.000
Zn1 0.500 0.500 0.000
In1 0.500 0.500 0.500
N1 0.000 0.500 0.500



# InSe2N, relaxed, DFT PBE
# calculated density	6.2	g/cm3
data_InSe2N
_cell_length_a 6.732
_cell_length_b 6.732
_cell_length_c 6.732
_cell_angle_alpha 90.00
_cell_angle_beta 90.00
_cell_angle_gamma 90.00
_space_group_name_H-M_alt 'F m -3 m'
_space_group_IT_number 225
_space_group_name_Hall '-F 4 2 3'
loop_
_atom_site_label
_atom_site_fract_x
_atom_site_fract_y
_atom_site_fract_z
In1 0.000 0.000 0.000
Se1 0.250 0.250 0.250
N1 0.000 0.000 0.500



| no. | raw formation energy (eV/atom) | final energy (eV per atom) |
| --- | --- | --- |
| 1 | -0.865 | -7.434 |
| 2 | -1.032 | -7.097 |
| 3 | 1.159 | -4.240 |
| 4 | 1.226 | -3.283 |